Record 1
# GGA-PBE HoTmGa3, optimized geometry
# Volume, Å³/f.u.: 108.7
# DFT formation energy, kJ per mole of atoms: -59.98
data_HoTmGa3
_chemical_formula_sum 'Ho4 Tm4 Ga12'
_symmetry_space_group_name_H-M 'C m c m'
_symmetry_Int_Tables_number 63
_symmetry_space_group_name_Hall '-C 2c 2'
_cell_length_a 4.1252
_cell_length_b 25.4250
_cell_length_c 4.1449
_cell_angle_alpha 90.00
_cell_angle_beta 90.00
_cell_angle_gamma 90.00
loop_
_atom_site_label
_atom_site_fract_x
_atom_site_fract_y
_atom_site_fract_z
_atom_site_occupancy
Ho1 0.0000 0.0729 0.2500 1
Tm1 0.0000 0.2046 0.7500 1
Ga1 0.0000 0.3231 0.7500 1
Ga2 0.0000 0.3801 0.2500 1
Ga3 0.0000 0.4758 0.2500 1



Record 2
# GGA-PBE Ho3TmGa8, optimized geometry
# Volume, Å³/f.u.: 233.6
# DFT formation energy, kJ per mole of atoms: -52.27
data_Ho3TmGa8
_chemical_formula_sum 'Ho9 Tm3 Ga24'
_symmetry_space_group_name_H-M 'R 3 m'
_symmetry_Int_Tables_number 160
_symmetry_space_group_name_Hall 'R 3 -2"'
_cell_length_a 5.4612
_cell_length_b 5.4612
_cell_length_c 27.1277
_cell_angle_alpha 90.00
_cell_angle_beta 90.00
_cell_angle_gamma 120.00
loop_
_atom_site_label
_atom_site_fract_x
_atom_site_fract_y
_atom_site_fract_z
_atom_site_occupancy
Ho1 0.0000 0.0000 0.0000 1
Ho2 0.0000 0.0000 0.1240 1
Ho3 0.0000 0.0000 0.6237 1
Tm1 0.0000 0.0000 0.5001 1
Ga1 0.0000 0.0000 0.3119 1
Ga2 0.0000 0.0000 0.8120 1
Ga3 0.0001 0.5001 0.0621 1
Ga4 0.0000 0.5000 0.5618 1